Entry 1:
A plane-wave DFT calculation with PBE-GGA was carried out for Pr3AlHg2 after structural relaxation.

a = 3.7971 Å, b = 3.7971 Å, c = 11.6894 Å
α = 90.00°, β = 90.00°, γ = 90.00°
Closest atoms and distances in Å follow each position.
Space group P4/mmm (No. 123)
One atom of each set of equivalent atoms:
Pr: 0.0000 0.0000 0.0000 [1 per cell]  8 Hg 3.34
Pr: 0.0000 0.0000 0.3417 [2 per cell]  4 Al 3.26, 4 Hg 3.35
Al: 0.5000 0.5000 0.5000 [1 per cell]  8 Pr 3.26
Hg: 0.5000 0.5000 0.1706 [2 per cell]  8 Pr 3.34-3.35

Summary:
- energy of formation from the pure elements (eV per atom) = -0.4212
- calculated total energy (eV per atom) = -3.535
- D(E_F) (states/eV/atom) = 1.09

=====

Entry 2:
A plane-wave DFT calculation with PBE-GGA was carried out for KMo2Cl after structural relaxation.

a = 7.1440 Å, b = 7.1440 Å, c = 7.1440 Å
α = 90.00°, β = 90.00°, γ = 90.00°
Closest atoms and distances in Å follow each position.
Space group Fm-3m (No. 225)
One atom of each set of equivalent atoms:
K: 0.0000 0.0000 0.0000 [4 per cell]  8 Mo 3.09
Mo: 0.2500 0.2500 0.2500 [8 per cell]  4 Cl 3.09, 4 K 3.09
Cl: 0.0000 0.0000 0.5000 [4 per cell]  8 Mo 3.09

Summary:
- calculated total energy (eV per atom) = -4.044
- D(E_F) (states/eV/atom) = 1.16
- formation energy from raw total energies (eV per atom) = 2.1079
- energy above the most stable polymorph in this dataset (meV per atom) = 2030

=====

Entry 3:
A plane-wave DFT calculation with PBE-GGA was carried out for CdHgMoRu2 after structural relaxation.

a = 4.9790 Å, b = 4.9790 Å, c = 5.0919 Å
α = 90.00°, β = 90.00°, γ = 90.00°
Closest atoms and distances in Å follow each position.
Space group P4/mmm (No. 123)
One atom of each set of equivalent atoms:
Cd: 0.0000 0.0000 0.0000 [1 per cell]  4 Mo 3.52, 8 Ru 3.56
Hg: 0.5000 0.5000 0.5000 [1 per cell]  4 Ru 2.49, 2 Mo 2.55
Mo: 0.5000 0.5000 0.0000 [1 per cell]  2 Hg 2.55
Ru: 0.0000 0.5000 0.5000 [2 per cell]  2 Hg 2.49

Summary:
- energy of formation from the pure elements (eV per atom) = 2.2295
- calculated total energy (eV per atom) = -3.890
- D(E_F) (states/eV/atom) = 1.70

=====

Entry 4:
A plane-wave DFT calculation with PBE-GGA was carried out for K2CaW after structural relaxation.

a = 4.7918 Å, b = 4.7918 Å, c = 26.8543 Å
α = 90.00°, β = 90.00°, γ = 90.00°
Closest atoms and distances in Å follow each position.
Space group I-42d (No. 122)
One atom of each set of equivalent atoms:
K: 0.2330 0.2500 0.1250 [8 per cell]  4 K 3.27-3.51
Ca: 0.0000 0.0000 0.5000 [4 per cell]  4 W 3.39, 4 K 3.79
W: 0.0000 0.0000 0.0000 [4 per cell]  4 Ca 3.39, 4 K 3.73

Summary:
- energy of formation from the pure elements (eV per atom) = 1.5110
- calculated total energy (eV per atom) = -2.776
- D(E_F) (states/eV/atom) = 0.79
- energy above the most stable polymorph in this dataset (meV per atom) = 426

=====

Entry 5:
A plane-wave DFT calculation with PBE-GGA was carried out for ErTm7Sc3 after structural relaxation.

a = 6.8575 Å, b = 6.8575 Å, c = 8.1803 Å
α = 90.00°, β = 90.00°, γ = 120.00°
Closest atoms and distances in Å follow each position.
Space group P3m1 (No. 156)
One atom of each set of equivalent atoms:
Er: 0.0000 0.0000 0.0000 [1 per cell]  3 Sc 3.36, 9 Tm 3.42-3.43
Tm: 0.0029 0.5014 0.0064 [3 per cell]  2 Sc 3.31, 7 Tm 3.40-3.48, 2 Er 3.43
Tm: 0.3305 0.1652 0.6578 [3 per cell]  2 Sc 3.31, 8 Tm 3.40-3.48, 1 Er 3.42
Tm: 0.3333 0.6667 0.6642 [1 per cell]  3 Sc 3.36, 9 Tm 3.42-3.43
Sc: 0.1668 0.3336 0.3323 [3 per cell]  5 Tm 3.31-3.36, 1 Er 3.36, 4 Sc 3.43

Summary:
- energy of formation from the pure elements (eV per atom) = 0.2238
- calculated total energy (eV per atom) = -4.763
- D(E_F) (states/eV/atom) = 1.70

=====

Entry 6:
A plane-wave DFT calculation with PBE-GGA was carried out for NaLaHgPb after structural relaxation.

a = 7.7470 Å, b = 7.7470 Å, c = 7.7470 Å
α = 90.00°, β = 90.00°, γ = 90.00°
Closest atoms and distances in Å follow each position.
Space group F-43m (No. 216)
One atom of each set of equivalent atoms:
Na: 0.0000 0.0000 0.0000 [4 per cell]  4 Hg 3.35, 4 Pb 3.35
La: 0.0000 0.0000 0.5000 [4 per cell]  4 Pb 3.35, 4 Hg 3.35
Hg: 0.2500 0.2500 0.2500 [4 per cell]  4 La 3.35, 4 Na 3.35
Pb: 0.2500 0.2500 0.7500 [4 per cell]  4 Na 3.35, 4 La 3.35

Summary:
- energy of formation from the pure elements (eV per atom) = -0.4485
- calculated total energy (eV per atom) = -3.013
- D(E_F) (states/eV/atom) = 0.20

=====

Entry 7:
A plane-wave DFT calculation with PBE-GGA was carried out for Ni2RhCl after structural relaxation.

a = 3.6606 Å, b = 3.6606 Å, c = 4.0340 Å
α = 90.00°, β = 90.00°, γ = 90.00°
Closest atoms and distances in Å follow each position.
Space group P4/mmm (No. 123)
One atom of each set of equivalent atoms:
Ni: 0.0000 0.5000 0.0000 [2 per cell]  4 Ni 2.59, 4 Cl 2.72, 4 Rh 2.72
Rh: 0.0000 0.0000 0.5000 [1 per cell]  4 Cl 2.59, 8 Ni 2.72
Cl: 0.5000 0.5000 0.5000 [1 per cell]  4 Rh 2.59, 8 Ni 2.72

Summary:
- calculated total energy (eV per atom) = -4.526
- D(E_F) (states/eV/atom) = 1.50
- formation energy from raw total energies (eV per atom) = 0.6645
- energy above the most stable polymorph in this dataset (meV per atom) = 462

=====

Entry 8:
A plane-wave DFT calculation with PBE-GGA was carried out for PrScCu2Si2 after structural relaxation.

a = 4.1736 Å, b = 4.1736 Å, c = 7.2079 Å
α = 90.00°, β = 90.00°, γ = 120.00°
Closest atoms and distances in Å follow each position.
Space group P-3m1 (No. 164)
One atom of each set of equivalent atoms:
Pr: 0.0000 0.0000 0.0000 [1 per cell]  6 Si 3.15, 6 Cu 3.27
Sc: 0.0000 0.0000 0.5000 [1 per cell]  6 Cu 2.78, 6 Si 2.88
Cu: 0.3333 0.6667 0.6925 [2 per cell]  3 Si 2.42
Si: 0.3333 0.6667 0.2814 [2 per cell]  3 Cu 2.42

Summary:
- calculated total energy (eV per atom) = -5.670
- D(E_F) (states/eV/atom) = 0.43
- formation energy from raw total energies (eV per atom) = -0.6449

=====

Entry 9:
A plane-wave DFT calculation with PBE-GGA was carried out for KIrSe3 after structural relaxation.

a = 5.5345 Å, b = 5.5345 Å, c = 5.5345 Å
α = 90.00°, β = 90.00°, γ = 90.00°
Closest atoms and distances in Å follow each position.
Space group Pm-3m (No. 221)
One atom of each set of equivalent atoms:
K: 0.0000 0.0000 0.0000 [1 per cell]  6 Se 2.77
Ir: 0.5000 0.5000 0.5000 [1 per cell]  12 Se 3.91
Se: 0.0000 0.0000 0.5000 [3 per cell]  2 K 2.77

Summary:
- calculated total energy (eV per atom) = -2.109
- D(E_F) (states/eV/atom) = 1.28
- formation energy from raw total energies (eV per atom) = 1.9737
- energy above the most stable polymorph in this dataset (meV per atom) = 2012

=====

Entry 10:
A plane-wave DFT calculation with PBE-GGA was carried out for SrNiHg2 after structural relaxation.

a = 4.4710 Å, b = 4.4710 Å, c = 4.8352 Å
α = 90.00°, β = 90.00°, γ = 90.00°
Closest atoms and distances in Å follow each position.
Space group P4/mmm (No. 123)
One atom of each set of equivalent atoms:
Sr: 0.0000 0.0000 0.0000 [1 per cell]  4 Ni 3.16, 8 Hg 3.29
Ni: 0.5000 0.5000 0.0000 [1 per cell]  4 Sr 3.16, 8 Hg 3.29
Hg: 0.0000 0.5000 0.5000 [2 per cell]  4 Hg 3.16, 4 Ni 3.29, 4 Sr 3.29

Summary:
- energy of formation from the pure elements (eV per atom) = 0.0277
- calculated total energy (eV per atom) = -1.989
- D(E_F) (states/eV/atom) = 0.94

=====

Entry 11:
A plane-wave DFT calculation with PBE-GGA was carried out for MgZn2Se2 after structural relaxation.

a = 3.8415 Å, b = 20.0453 Å, c = 5.3059 Å
α = 90.00°, β = 90.00°, γ = 90.00°
Closest atoms and distances in Å follow each position.
Space group Cmc2_1 (No. 36)
One atom of each set of equivalent atoms:
Mg: 0.0000 0.1019 0.0000 [4 per cell]  4 Se 2.65-2.75
Zn: 0.0000 0.2930 0.9995 [4 per cell]  6 Se 2.65-2.76
Zn: 0.0000 0.4829 0.9955 [4 per cell]  2 Se 2.65, 2 Zn 2.74
Se: 0.0000 0.1078 0.4997 [4 per cell]  4 Zn 2.65-2.76, 2 Mg 2.65-2.66
Se: 0.0000 0.2998 0.4992 [4 per cell]  4 Zn 2.65-2.67, 2 Mg 2.75

Summary:
- calculated total energy (eV per atom) = -2.723
- D(E_F) (states/eV/atom) = 0.06
- formation energy from raw total energies (eV per atom) = -0.5007
- energy above the most stable polymorph in this dataset (meV per atom) = 33

=====

Entry 12:
A plane-wave DFT calculation with PBE-GGA was carried out for TaAlCrCo2 after structural relaxation.

a = 4.1060 Å, b = 4.1060 Å, c = 4.3303 Å
α = 90.00°, β = 90.00°, γ = 90.00°
Closest atoms and distances in Å follow each position.
Space group P4/mmm (No. 123)
One atom of each set of equivalent atoms:
Ta: 0.0000 0.0000 0.0000 [1 per cell]  4 Cr 2.90, 8 Co 2.98
Al: 0.5000 0.5000 0.5000 [1 per cell]  4 Co 2.05, 2 Cr 2.17
Cr: 0.5000 0.5000 0.0000 [1 per cell]  2 Al 2.17
Co: 0.0000 0.5000 0.5000 [2 per cell]  2 Al 2.05

Summary:
- energy of formation from the pure elements (eV per atom) = 0.9003
- calculated total energy (eV per atom) = -6.986
- D(E_F) (states/eV/atom) = 0.63

=====

Entry 13:
A plane-wave DFT calculation with PBE-GGA was carried out for LiSe after structural relaxation.

a = 10.6635 Å, b = 2.7968 Å, c = 7.5434 Å
α = 90.00°, β = 105.89°, γ = 90.00°
Closest atoms and distances in Å follow each position.
Space group Cm (No. 8)
One atom of each set of equivalent atoms:
Li: 0.0000 0.0000 0.0000 [2 per cell]  7 Se 2.80-2.86, 2 Li 2.80
Li: 0.1449 0.0000 0.6728 [2 per cell]  7 Se 2.76-2.93, 2 Li 2.80
Li: 0.3440 0.5000 0.3517 [2 per cell]  6 Se 2.59-2.89, 2 Li 2.80
Se: 0.0701 0.5000 0.3336 [2 per cell]  7 Li 2.80-2.89, 2 Se 2.80
Se: 0.2336 0.5000 0.0004 [2 per cell]  6 Li 2.59-2.86, 2 Se 2.80
Se: 0.4026 0.0000 0.6659 [2 per cell]  7 Li 2.67-2.93, 2 Se 2.80

Summary:
- calculated total energy (eV per atom) = -3.505
- D(E_F) (states/eV/atom) = 0.27
- formation energy from raw total energies (eV per atom) = -0.8057
- energy above the most stable polymorph in this dataset (meV per atom) = 104

=====

Entry 14:
A plane-wave DFT calculation with PBE-GGA was carried out for Re2PN2 after structural relaxation.

a = 6.3382 Å, b = 6.3382 Å, c = 2.6776 Å
α = 90.00°, β = 90.00°, γ = 90.00°
Closest atoms and distances in Å follow each position.
Space group P4/mbm (No. 127)
One atom of each set of equivalent atoms:
Re: 0.1866 0.3134 0.0000 [4 per cell]  2 N 2.12
P: 0.0000 0.0000 0.5000 [2 per cell]  4 N 2.48, 8 Re 2.67, 2 P 2.68
N: 0.1306 0.6306 0.5000 [4 per cell]  2 Re 2.12, 1 N 2.34

Summary:
- calculated total energy (eV per atom) = -8.392
- D(E_F) (states/eV/atom) = 0.44
- formation energy from raw total energies (eV per atom) = 0.9998
- energy above the most stable polymorph in this dataset (meV per atom) = 343

=====

Entry 15:
A plane-wave DFT calculation with PBE-GGA was carried out for Cr2AsIr after structural relaxation.

a = 8.8094 Å, b = 2.8538 Å, c = 4.5158 Å
α = 90.00°, β = 100.57°, γ = 90.00°
Closest atoms and distances in Å follow each position.
Space group Cm (No. 8)
One atom of each set of equivalent atoms:
Cr: 0.0000 0.0000 0.0000 [2 per cell]  3 Ir 2.57-2.58, 4 As 2.65-2.69, 5 Cr 2.71-2.85
Cr: 0.2430 0.5000 0.2926 [2 per cell]  3 As 2.52-2.64, 4 Ir 2.63-2.72, 3 Cr 2.71-2.82
As: 0.4934 0.0000 0.4924 [2 per cell]  7 Cr 2.52-2.69, 1 Ir 2.73
Ir: 0.2576 0.0000 0.8102 [2 per cell]  7 Cr 2.57-2.72, 1 As 2.73, 2 Ir 2.85

Summary:
- energy of formation from the pure elements (eV per atom) = 0.0386
- calculated total energy (eV per atom) = -8.151
- D(E_F) (states/eV/atom) = 0.84

=====

Entry 16:
A plane-wave DFT calculation with PBE-GGA was carried out for HgTeSe after structural relaxation.

a = 6.9522 Å, b = 6.9522 Å, c = 22.1395 Å
α = 90.00°, β = 90.00°, γ = 120.00°
Closest atoms and distances in Å follow each position.
Space group R3 (No. 146, hexagonal axes)
One atom of each set of equivalent atoms:
Hg: 0.0000 0.0000 0.0000 [3 per cell]  3 Se 2.92, 3 Te 3.13
Hg: 0.0000 0.0000 0.2396 [3 per cell]  3 Se 2.61
Hg: 0.0000 0.0000 0.5752 [3 per cell]  3 Se 2.60
Te: 0.1109 0.6969 0.0801 [9 per cell]  2 Te 2.88, 1 Hg 3.13
Se: 0.0707 0.4029 0.5640 [9 per cell]  2 Hg 2.60-2.61

Summary:
- calculated total energy (eV per atom) = -2.143
- D(E_F) (states/eV/atom) = 1.02
- formation energy from raw total energies (eV per atom) = 0.1662
- energy above the most stable polymorph in this dataset (meV per atom) = 103

=====

Entry 17:
A plane-wave DFT calculation with PBE-GGA was carried out for BaTa2CrPd after structural relaxation.

a = 5.0104 Å, b = 5.0104 Å, c = 5.1992 Å
α = 90.00°, β = 90.00°, γ = 90.00°
Closest atoms and distances in Å follow each position.
Space group P4/mmm (No. 123)
One atom of each set of equivalent atoms:
Ba: 0.0000 0.0000 0.0000 [1 per cell]  4 Cr 3.54, 8 Ta 3.61
Ta: 0.0000 0.5000 0.5000 [2 per cell]  2 Pd 2.51
Cr: 0.5000 0.5000 0.0000 [1 per cell]  2 Pd 2.60
Pd: 0.5000 0.5000 0.5000 [1 per cell]  4 Ta 2.51, 2 Cr 2.60

Summary:
- energy of formation from the pure elements (eV per atom) = 1.1590
- calculated total energy (eV per atom) = -6.930
- D(E_F) (states/eV/atom) = 1.10

=====

Entry 18:
A plane-wave DFT calculation with PBE-GGA was carried out for Li2TbCd2Ag2 after structural relaxation.

a = 8.3556 Å, b = 4.8091 Å, c = 7.6033 Å
α = 90.00°, β = 111.17°, γ = 90.00°
Closest atoms and distances in Å follow each position.
Space group C2/m (No. 12)
One atom of each set of equivalent atoms:
Li: 0.1504 0.0000 0.4519 [4 per cell]  1 Ag 2.61, 3 Li 2.86
Tb: 0.0000 0.0000 0.0000 [2 per cell]  6 Ag 3.06, 2 Li 3.20
Cd: 0.0734 0.5000 0.7174 [4 per cell]  3 Ag 2.87-2.88, 3 Li 3.02-3.03, 1 Cd 3.08
Ag: 0.2257 0.5000 0.1798 [4 per cell]  1 Li 2.61, 3 Cd 2.87-2.88

Summary:
- energy of formation from the pure elements (eV per atom) = -0.2474
- calculated total energy (eV per atom) = -2.532
- D(E_F) (states/eV/atom) = 0.61

=====

Entry 19:
A plane-wave DFT calculation with PBE-GGA was carried out for Ag3PtCl6F2 after structural relaxation.

a = 13.5163 Å, b = 7.1084 Å, c = 5.9714 Å
α = 90.00°, β = 108.72°, γ = 90.00°
Closest atoms and distances in Å follow each position.
Space group C2/m (No. 12)
One atom of each set of equivalent atoms:
Ag: 0.0000 0.0000 0.0000 [2 per cell]  2 F 2.14
Ag: 0.2500 0.2500 0.5000 [4 per cell]  2 F 2.39, 2 Cl 2.67
Pt: 0.0000 0.5000 0.5000 [2 per cell]  6 Cl 2.34-2.36
Cl: 0.1038 0.2637 0.7395 [8 per cell]  1 Pt 2.36
Cl: 0.1076 0.5000 0.2621 [4 per cell]  1 Pt 2.34
F: 0.1495 0.0000 0.2688 [4 per cell]  3 Ag 2.14-2.39

Summary:
- calculated total energy (eV per atom) = -3.060
- D(E_F) (states/eV/atom) = 0.78
- formation energy from raw total energies (eV per atom) = -0.6087

=====

Entry 20:
A plane-wave DFT calculation with PBE-GGA was carried out for MgNpFeIr after structural relaxation.

a = 6.5049 Å, b = 6.5049 Å, c = 6.5049 Å
α = 90.00°, β = 90.00°, γ = 90.00°
Closest atoms and distances in Å follow each position.
Space group F-43m (No. 216)
One atom of each set of equivalent atoms:
Mg: 0.0000 0.0000 0.0000 [4 per cell]  4 Fe 2.82, 4 Ir 2.82
Np: 0.0000 0.0000 0.5000 [4 per cell]  4 Fe 2.82, 4 Ir 2.82
Fe: 0.2500 0.2500 0.2500 [4 per cell]  4 Mg 2.82, 4 Np 2.82
Ir: 0.2500 0.2500 0.7500 [4 per cell]  4 Mg 2.82, 4 Np 2.82

Summary:
- energy of formation from the pure elements (eV per atom) = -0.1084
- calculated total energy (eV per atom) = -8.073
- D(E_F) (states/eV/atom) = 1.26

=====

no.,volume (A^3/atom)
1,28.09
2,22.79
3,25.25
4,38.54
5,30.29
6,29.06
7,13.51
8,18.12
9,33.91
10,24.16
11,20.43
12,14.60
13,18.03
14,10.76
15,13.95
16,34.32
17,26.10
18,20.35
19,22.64
20,17.20